Here is a geometry-optimized KLiEr structure from the Open Quantum Materials Database. Energies are from PBE.

Structure (POSCAR):
```
KLiEr
1.0
-3.905 3.910 0.847
-0.012 4.655 -3.096
-4.012 0.814 -3.807
Er Li K
1 1 1
Direct
0.250 0.250 0.250
0.750 0.750 0.750
0.000 0.000 0.000
```

SG: F-43m (216)
Size of the total moment: 0.044 μB per formula unit
Total energy: -1.421 eV/atom